(1)
Below is an optimized crystal structure of Pm2HoNpN4, with properties calculated at the PBE-GGA level.

Properties
For the uncorrected formation energy, the calculation gives -11.6 eV/f.u. The calculation puts the density of states at the Fermi level at 5.7 states/eV/f.u.

Unit cell a=3.519 b=6.047 c=6.101 alpha=108.86 beta=90.00 gamma=90.00
Site moments in Bohr magnetons follow the coordinates.
Fractional coordinates of all 8 atoms:
Pm1 0.500 0.000 0.500  0.05
Pm2 0.000 0.500 0.500  0.09
Ho1 0.500 0.500 0.000  0.04
Np1 0.000 0.000 0.000  2.74
N1 0.500 0.236 0.226  -0.09
N2 0.500 0.764 0.774  -0.09
N3 0.000 0.242 0.776  -0.07
N4 0.000 0.758 0.224  -0.07

***

(2)
Below is an optimized crystal structure of La6Sm3Ho2, with properties calculated at the PBE-GGA level.

Properties
The calculation puts the density of states at the Fermi level at 19.5 states/eV/f.u. The calculated formation energy is 0.0954 eV per atom.

Unit cell a=5.835 b=5.835 c=13.607 alpha=77.62 beta=77.62 gamma=60.00
Fractional coordinates of all 11 atoms:
La1 0.909 0.909 0.272
La2 0.091 0.091 0.728
La3 0.813 0.813 0.561
La4 0.187 0.187 0.439
La5 0.715 0.715 0.855
La6 0.285 0.285 0.145
Sm1 0.000 0.000 0.000
Sm2 0.626 0.626 0.123
Sm3 0.374 0.374 0.877
Ho1 0.541 0.541 0.378
Ho2 0.459 0.459 0.622

***

(3)
Below is an optimized crystal structure of TbSm3Ho8, with properties calculated at the PBE-GGA level.

Properties
The calculation puts the density of states at the Fermi level at 15.1 states/eV/f.u. The calculated formation energy is 0.3043 eV per atom.

Unit cell a=8.622 b=8.622 c=8.622 alpha=97.34 beta=136.22 gamma=98.64
Fractional coordinates of all 12 atoms:
Tb1 0.000 0.000 0.000
Sm1 0.500 0.752 0.252
Sm2 0.500 0.248 0.748
Sm3 0.000 0.500 0.500
Ho1 0.499 0.247 0.251
Ho2 0.501 0.753 0.749
Ho3 0.004 0.753 0.251
Ho4 0.996 0.247 0.749
Ho5 0.168 0.418 0.250
Ho6 0.832 0.081 0.250
Ho7 0.831 0.582 0.750
Ho8 0.169 0.919 0.750